[1]
The following is a PBE calculation of a relaxed structure of Zn2RhPb, from Alexandria via LeMat-Bulk.

Unit cell a=4.646 b=4.646 c=4.646 alpha=60.00 beta=60.00 gamma=60.00
Positions (direct):
Pb  0.500  0.500  0.500
Rh  0.750  0.750  0.750
Zn  0.000  0.000  0.000
Zn  0.250  0.250  0.250

Results
density of states at the Fermi level = 1.223 states/eV/cell
ΔE_f = 121 meV per atom

[2]
The following is a PBE calculation of a relaxed structure of ThNi4As, from Alexandria via LeMat-Bulk.

Unit cell a=5.018 b=5.018 c=5.018 alpha=60.00 beta=60.00 gamma=60.00
Each line ends with the local moment (μB).
Positions (direct):
Ni  0.624  0.624  0.127  0.30
Ni  0.624  0.127  0.624  0.30
Ni  0.624  0.624  0.624  0.30
Ni  0.127  0.624  0.624  0.30
As  0.250  0.250  0.250  0.05
Th  0.000  0.000  0.000  -0.07

Results
density of states at the Fermi level = 4.529 states/eV/cell
ΔE_f = -334 meV per atom

[3]
The following is a PBE calculation of a relaxed structure of MgMoS2, from Alexandria via LeMat-Bulk.

Unit cell a=8.578 b=8.578 c=8.578 alpha=21.77 beta=21.77 gamma=21.77
Positions (direct):
Mg  0.000  0.000  0.000
Mo  0.500  0.500  0.500
S  0.896  0.896  0.896
S  0.104  0.104  0.104

Results
density of states at the Fermi level = 3.288 states/eV/cell
raw formation energy = -11.71 kcal/mol of atoms

[4]
The following is a PBE calculation of a relaxed structure of Dy3Ho5Th2, from Alexandria via LeMat-Bulk.

Unit cell a=8.981 b=8.978 c=11.097 alpha=121.62 beta=121.63 gamma=72.79
Positions (direct):
Dy  0.219  0.969  0.938
Dy  0.781  0.031  0.062
Dy  0.729  0.479  0.251
Dy  0.271  0.521  0.749
Dy  0.021  0.771  0.251
Dy  0.979  0.229  0.749
Ho  0.278  0.528  0.056
Ho  0.722  0.472  0.944
Ho  0.028  0.778  0.557
Ho  0.532  0.282  0.563
Ho  0.972  0.222  0.443
Ho  0.468  0.718  0.437
Ho  0.876  0.621  0.747
Ho  0.124  0.379  0.253
Ho  0.372  0.126  0.747
Ho  0.628  0.874  0.253
Th  0.762  0.011  0.749
Th  0.238  0.989  0.251
Th  0.487  0.738  0.749
Th  0.513  0.262  0.251

Results
density of states at the Fermi level = 30.196 states/eV/cell
ΔE_f = 218 meV per atom

[5]
The following is a PBE calculation of a relaxed structure of Ac2USn, from Alexandria via LeMat-Bulk.

Unit cell a=3.553 b=3.553 c=12.764 alpha=82.00 beta=82.00 gamma=60.00
Each line ends with the local moment (μB).
Positions (direct):
Ac  0.091  0.091  0.727  -0.01
Ac  0.909  0.909  0.273  -0.01
U  0.000  0.000  0.000  2.91
Sn  0.500  0.500  0.500  0.00

Results
density of states at the Fermi level = 9.148 states/eV/cell
ΔE_f = 481 meV per atom

[6]
The following is a PBE calculation of a relaxed structure of CrTe2As, from Alexandria via LeMat-Bulk.

Unit cell a=5.112 b=5.112 c=3.495 alpha=90.00 beta=90.00 gamma=90.00
Each line ends with the local moment (μB).
Positions (direct):
As  0.500  0.000  0.500  0.01
Cr  0.000  0.500  0.500  3.75
Te  0.000  0.000  0.000  -0.10
Te  0.500  0.500  0.000  -0.10

Results
density of states at the Fermi level = 2.169 states/eV/cell
raw formation energy = 8.63 kcal/mol of atoms

[7]
The following is a PBE calculation of a relaxed structure of CaTaV2, from Alexandria via LeMat-Bulk.

Unit cell a=4.575 b=4.575 c=9.698 alpha=76.36 beta=76.36 gamma=90.00
Positions (direct):
Ca  0.500  0.500  0.000
Ca  0.250  0.750  0.500
Ta  0.000  0.000  0.000
Ta  0.750  0.250  0.500
V  0.875  0.125  0.250
V  0.875  0.625  0.250
V  0.375  0.125  0.750
V  0.875  0.125  0.750

Results
density of states at the Fermi level = 8.719 states/eV/cell
ΔE to the lowest computed polymorph = 0.493 eV/atom
ΔE_f = 1251 meV per atom

[8]
The following is a PBE calculation of a relaxed structure of Ce2Ni4GeP3, from Alexandria via LeMat-Bulk.

Unit cell a=4.047 b=4.047 c=9.238 alpha=90.00 beta=90.00 gamma=90.00
Each line ends with the local moment (μB).
Positions (direct):
Ce  0.500  0.000  0.244  -0.08
Ce  0.000  0.500  0.756  -0.08
Ni  0.500  0.500  0.000  0.01
Ni  0.000  0.000  0.000  0.01
Ni  0.500  0.000  0.627  0.00
Ni  0.000  0.500  0.373  0.00
Ge  0.500  0.500  0.500  0.00
P  0.000  0.000  0.500  0.00
P  0.500  0.000  0.872  0.00
P  0.000  0.500  0.128  0.00

Results
density of states at the Fermi level = 6.816 states/eV/cell
ΔE_f = -948 meV per atom